(1)
Entry from OQMD: an optimized crystal structure of HoGeMo (PBE-GGA).

abc: 4.501 4.501 4.501
angles: 60.00 60.00 60.00
Fractional positions:
Ge 0.000 0.000 0.000
Ho 0.250 0.250 0.250
Mo 0.750 0.750 0.750

## Properties
For the total energy, the calculation gives -19.86 eV per cell. As for the total magnetic moment: 0.229 μB per formula unit.



(2)
Entry from OQMD: an optimized crystal structure of PrDy2Ni2B2N3 (PBE-GGA).

abc: 10.467 10.467 10.467
angles: 160.59 160.59 27.58
Fractional positions:
B 0.192 0.192 0.000
B 0.808 0.808 0.000
Dy 0.375 0.375 0.000
Dy 0.625 0.625 0.000
N 0.121 0.121 0.000
N 0.500 0.500 0.000
N 0.879 0.879 0.000
Ni 0.750 0.250 0.500
Ni 0.250 0.750 0.500
Pr 0.000 0.000 0.000

## Properties
For the total energy, the calculation gives -74.60 eV per cell. As for the total magnetic moment: 0.002 μB per formula unit.



(3)
Entry from OQMD: an optimized crystal structure of TbErMg2Ag4 (PBE-GGA).

abc: 4.904 4.904 6.935
angles: 90.00 90.00 90.00
Fractional positions:
Ag 0.500 0.000 0.246
Ag 0.000 0.500 0.246
Ag 0.500 0.000 0.754
Ag 0.000 0.500 0.754
Er 0.500 0.500 0.000
Mg 0.000 0.000 0.000
Mg 0.500 0.500 0.500
Tb 0.000 0.000 0.500

## Properties
For the total energy, the calculation gives -26.05 eV per cell. As for the total magnetic moment: 0.001 μB per formula unit.



(4)
Entry from OQMD: an optimized crystal structure of CsGdCoSe3 (PBE-GGA).

abc: 8.369 8.369 10.954
angles: 90.00 90.00 28.56
Each line ends with the local moment (μB).
Fractional positions:
Co 0.466 0.466 0.250  2.18
Co 0.534 0.534 0.750  2.18
Cs 0.742 0.742 0.250  0.01
Cs 0.258 0.258 0.750  0.01
Gd 0.000 0.000 0.000  0.03
Gd 0.000 0.000 0.500  0.03
Se 0.384 0.384 0.068  0.12
Se 0.053 0.053 0.250  0.16
Se 0.384 0.384 0.432  0.12
Se 0.616 0.616 0.568  0.12
Se 0.947 0.947 0.750  0.16
Se 0.616 0.616 0.932  0.12

## Properties
For the total energy, the calculation gives -60.26 eV per cell. As for the total magnetic moment: 2.994 μB per formula unit.



(5)
Entry from OQMD: an optimized crystal structure of NaCdPO4 (PBE-GGA).

abc: 10.795 6.508 5.043
angles: 90.00 90.00 90.00
Fractional positions:
Cd 0.215 0.250 0.020
Cd 0.715 0.250 0.480
Cd 0.285 0.750 0.520
Cd 0.785 0.750 0.980
Na 0.498 0.995 0.000
Na 0.998 0.995 0.500
Na 0.002 0.495 0.500
Na 0.502 0.495 0.000
O 0.968 0.746 0.183
O 0.170 0.938 0.194
O 0.171 0.560 0.195
O 0.898 0.247 0.234
O 0.398 0.247 0.266
O 0.671 0.560 0.305
O 0.670 0.938 0.306
O 0.468 0.746 0.317
O 0.532 0.246 0.683
O 0.330 0.438 0.694
O 0.329 0.060 0.695
O 0.602 0.747 0.734
O 0.102 0.747 0.766
O 0.829 0.060 0.805
O 0.830 0.438 0.806
O 0.032 0.246 0.817
P 0.102 0.748 0.071
P 0.602 0.748 0.429
P 0.398 0.248 0.571
P 0.898 0.248 0.929

## Properties
For the total energy, the calculation gives -165.61 eV per cell.



(6)
Entry from OQMD: an optimized crystal structure of Y3HoC (PBE-GGA).

abc: 5.062 5.062 5.062
angles: 90.00 90.00 90.00
Each line ends with the local moment (μB).
Fractional positions:
C 0.000 0.000 0.000  0.02
Ho 0.500 0.500 0.500  0.24
Y 0.500 0.000 0.000  0.10
Y 0.000 0.500 0.000  0.09
Y 0.000 0.000 0.500  0.10

## Properties
For the total energy, the calculation gives -33.27 eV per cell. As for the total magnetic moment: 0.914 μB per formula unit.



(7)
Entry from OQMD: an optimized crystal structure of Ga2HgF2 (PBE-GGA).

abc: 10.136 10.136 10.136
angles: 157.55 156.47 32.75
Fractional positions:
F 0.712 0.462 0.250
F 0.196 0.946 0.250
F 0.804 0.054 0.750
F 0.288 0.538 0.750
Ga 0.818 0.568 0.250
Ga 0.951 0.701 0.250
Ga 0.049 0.299 0.750
Ga 0.182 0.432 0.750
Hg 0.423 0.173 0.250
Hg 0.577 0.827 0.750

## Properties
For the total energy, the calculation gives -32.32 eV per cell.



(8)
Entry from OQMD: an optimized crystal structure of NaYHg (PBE-GGA).

abc: 5.032 5.032 5.032
angles: 60.00 60.00 60.00
Fractional positions:
Hg 0.000 0.000 0.000
Na 0.250 0.250 0.250
Y 0.750 0.750 0.750

## Properties
For the total energy, the calculation gives -8.05 eV per cell. As for the total magnetic moment: 0.514 μB per formula unit.



(9)
Entry from OQMD: an optimized crystal structure of Pa2Mo3Pd3 (PBE-GGA).

abc: 3.691 3.691 12.657
angles: 90.00 90.00 90.00
Fractional positions:
Mo 0.000 0.000 0.310
Mo 0.000 0.000 0.500
Mo 0.000 0.000 0.690
Pa 0.000 0.500 0.179
Pa 0.500 0.000 0.821
Pd 0.000 0.000 0.000
Pd 0.500 0.500 0.000
Pd 0.500 0.500 0.500

## Properties
As for the formation energy: 5.86 eV per formula unit. For the total energy, the calculation gives -61.21 eV per cell. As for the total magnetic moment: 0.010 μB per formula unit.



(10)
Entry from OQMD: an optimized crystal structure of BeInTcNi (PBE-GGA).

abc: 4.249 4.249 4.249
angles: 60.00 60.00 60.00
Fractional positions:
Be 0.250 0.250 0.250
In 0.000 0.000 0.000
Ni 0.750 0.750 0.750
Tc 0.500 0.500 0.500

## Properties
For the total energy, the calculation gives -21.50 eV per cell. As for the total magnetic moment: 1.156 μB per formula unit.



(11)
Entry from OQMD: an optimized crystal structure of PmTl (PBE-GGA).

abc: 3.606 3.606 5.342
angles: 90.00 90.00 120.00
Fractional positions:
Pm 0.667 0.333 0.750
Tl 0.333 0.667 0.250

## Properties
For the total energy, the calculation gives -7.54 eV per cell. As for the total magnetic moment: 0.025 μB per formula unit.



(12)
Entry from OQMD: an optimized crystal structure of KNdAsO (PBE-GGA).

abc: 3.592 8.110 7.710
angles: 90.00 90.00 90.00
Fractional positions:
As 0.000 0.786 0.329
As 0.000 0.214 0.829
K 0.500 0.459 0.099
K 0.500 0.541 0.599
Nd 0.000 0.134 0.451
Nd 0.000 0.866 0.951
O 0.500 0.269 0.375
O 0.500 0.731 0.875

## Properties
For the total energy, the calculation gives -42.88 eV per cell. As for the total magnetic moment: 0.000 μB per formula unit.



(13)
Entry from OQMD: an optimized crystal structure of ErTm2Lu4Ni2Te2 (PBE-GGA).

abc: 9.176 9.176 9.176
angles: 156.04 67.23 118.24
Fractional positions:
Er 0.000 0.000 0.000
Lu 0.717 0.582 0.135
Lu 0.691 0.377 0.315
Lu 0.062 0.377 0.685
Lu 0.447 0.582 0.865
Ni 0.306 0.069 0.237
Ni 0.833 0.069 0.763
Te 0.340 0.340 0.000
Te 0.733 0.233 0.500
Tm 0.083 0.729 0.353
Tm 0.376 0.729 0.647

## Properties
For the total energy, the calculation gives -56.54 eV per cell. As for the total magnetic moment: 0.016 μB per formula unit.



(14)
Entry from OQMD: an optimized crystal structure of TmInFeTe3 (PBE-GGA).

abc: 8.018 8.018 11.143
angles: 90.00 90.00 30.74
Each line ends with the local moment (μB).
Fractional positions:
Fe 0.473 0.473 0.250  3.11
Fe 0.527 0.527 0.750  3.10
In 0.757 0.757 0.250  0.02
In 0.243 0.243 0.750  0.02
Te 0.367 0.367 0.067  0.09
Te 0.078 0.078 0.250  0.10
Te 0.367 0.367 0.433  0.09
Te 0.633 0.633 0.567  0.09
Te 0.922 0.922 0.750  0.10
Te 0.633 0.633 0.933  0.09
Tm 0.000 0.000 0.000  0.03
Tm 0.000 0.000 0.500  0.03

## Properties
For the total energy, the calculation gives -56.53 eV per cell. As for the total magnetic moment: 3.853 μB per formula unit.



(15)
Entry from OQMD: an optimized crystal structure of BeOs2 (PBE-GGA).

abc: 3.830 3.830 3.830
angles: 60.00 60.00 60.00
Fractional positions:
Be 0.000 0.000 0.000
Os 0.250 0.250 0.250
Os 0.750 0.750 0.750

## Properties
For the total energy, the calculation gives -24.45 eV per cell. As for the total magnetic moment: 0.010 μB per formula unit.



(16)
Entry from OQMD: an optimized crystal structure of Ni2Sb3Te (PBE-GGA).

abc: 5.338 3.864 6.325
angles: 90.00 90.28 90.00
Fractional positions:
Ni 0.502 0.500 0.500
Ni 0.001 0.000 0.999
Sb 0.276 0.500 0.143
Sb 0.783 0.000 0.360
Sb 0.220 0.000 0.637
Te 0.718 0.500 0.861

## Properties
For the total energy, the calculation gives -27.93 eV per cell. As for the total magnetic moment: 0.002 μB per formula unit.



(17)
Entry from OQMD: an optimized crystal structure of HoLuHg (PBE-GGA).

abc: 5.027 5.027 5.027
angles: 60.00 60.00 60.00
Fractional positions:
Hg 0.000 0.000 0.000
Ho 0.250 0.250 0.250
Lu 0.750 0.750 0.750

## Properties
As for the formation energy: -0.38 eV per formula unit. For the total energy, the calculation gives -9.78 eV per cell. As for the total magnetic moment: 0.013 μB per formula unit.



(18)
Entry from OQMD: an optimized crystal structure of Tc2NiPd (PBE-GGA).

abc: 4.293 4.293 4.293
angles: 60.00 60.00 60.00
Fractional positions:
Ni 0.250 0.250 0.250
Pd 0.500 0.500 0.500
Tc 0.000 0.000 0.000
Tc 0.750 0.750 0.750

## Properties
As for the formation energy: 0.97 eV per formula unit. For the total energy, the calculation gives -30.50 eV per cell. As for the total magnetic moment: 0.013 μB per formula unit.



(19)
Entry from OQMD: an optimized crystal structure of SrAcPa (PBE-GGA).

abc: 5.795 5.795 5.795
angles: 60.00 60.00 60.00
Fractional positions:
Ac 0.250 0.250 0.250
Pa 0.000 0.000 0.000
Sr 0.750 0.750 0.750

## Properties
For the total energy, the calculation gives -11.31 eV per cell. As for the total magnetic moment: 2.323 μB per formula unit.



(20)
Entry from OQMD: an optimized crystal structure of TaBiIr (PBE-GGA).

abc: 6.644 4.238 8.745
angles: 90.00 90.00 90.00
Fractional positions:
Bi 0.339 0.250 0.069
Bi 0.839 0.250 0.431
Bi 0.161 0.750 0.569
Bi 0.661 0.750 0.931
Ir 0.916 0.250 0.095
Ir 0.416 0.250 0.405
Ir 0.584 0.750 0.595
Ir 0.084 0.750 0.905
Ta 0.068 0.750 0.224
Ta 0.568 0.750 0.276
Ta 0.432 0.250 0.724
Ta 0.932 0.250 0.776

## Properties
For the total energy, the calculation gives -96.00 eV per cell. As for the total magnetic moment: 0.001 μB per formula unit.



(21)
Entry from OQMD: an optimized crystal structure of SrDyBi (PBE-GGA).

abc: 5.501 5.501 5.501
angles: 60.00 60.00 60.00
Each line ends with the local moment (μB).
Fractional positions:
Bi 0.250 0.250 0.250  -0.01
Dy 0.000 0.000 0.000  0.19
Sr 0.750 0.750 0.750  0.04

## Properties
For the total energy, the calculation gives -10.14 eV per cell. As for the total magnetic moment: 0.395 μB per formula unit.



(22)
Entry from OQMD: an optimized crystal structure of KLuCoS3 (PBE-GGA).

abc: 8.215 8.215 8.302
angles: 102.13 102.13 28.07
Each line ends with the local moment (μB).
Fractional positions:
Co 0.501 0.501 0.264  1.72
Co 0.499 0.499 0.736  1.72
K 0.150 0.150 0.068  0.00
K 0.850 0.850 0.932  0.00
Lu 0.836 0.836 0.419  0.00
Lu 0.164 0.164 0.581  0.00
S 0.500 0.500 0.000  0.22
S 0.351 0.351 0.216  0.00
S 0.661 0.661 0.358  0.01
S 0.000 0.000 0.500  0.10
S 0.339 0.339 0.642  0.01
S 0.649 0.649 0.784  0.00

## Properties
For the total energy, the calculation gives -63.54 eV per cell. As for the total magnetic moment: 2.000 μB per formula unit.



(23)
Entry from OQMD: an optimized crystal structure of MgCu2SnTe4 (PBE-GGA).

abc: 6.256 6.256 6.220
angles: 90.00 90.00 90.00
Fractional positions:
Cu 0.500 0.000 0.500
Cu 0.000 0.500 0.500
Mg 0.000 0.000 0.000
Sn 0.500 0.500 0.000
Te 0.246 0.246 0.281
Te 0.754 0.754 0.281
Te 0.754 0.246 0.719
Te 0.246 0.754 0.719

## Properties
For the total energy, the calculation gives -28.03 eV per cell.



(24)
Entry from OQMD: an optimized crystal structure of ErI3 (PBE-GGA).

abc: 10.569 6.434 12.751
angles: 90.00 107.20 90.00
Fractional positions:
Er 0.204 0.000 0.050
Er 0.796 0.500 0.450
Er 0.204 0.500 0.550
Er 0.796 0.000 0.950
I 0.661 0.732 0.052
I 0.000 0.233 0.120
I 0.337 0.731 0.219
I 0.663 0.231 0.281
I 0.000 0.733 0.380
I 0.339 0.232 0.448
I 0.661 0.768 0.552
I 0.000 0.267 0.620
I 0.337 0.769 0.719
I 0.663 0.269 0.781
I 0.000 0.767 0.880
I 0.339 0.268 0.948

## Properties
For the total energy, the calculation gives -55.30 eV per cell. As for the total magnetic moment: 0.000 μB per formula unit.



(25)
Entry from OQMD: an optimized crystal structure of TlPdPt (PBE-GGA).

abc: 4.455 4.455 4.455
angles: 60.00 60.00 60.00
Fractional positions:
Pd 0.250 0.250 0.250
Pt 0.750 0.750 0.750
Tl 0.000 0.000 0.000

## Properties
For the total energy, the calculation gives -13.16 eV per cell. As for the total magnetic moment: 0.001 μB per formula unit.